(1)
Material: La6Pm2Mg
Method: DFT, PBE
State: optimized geometry

```
La6Pm2Mg
1.0
3.661 0.000 0.000
0.000 10.020 0.000
0.000 -5.010 8.678
Pm La Mg
2 6 1
Direct
0.000 0.333 0.667
0.000 0.667 0.333
0.000 0.703 0.704
0.500 0.640 0.000
0.500 0.360 0.361
0.000 0.000 0.296
0.000 0.297 0.000
0.500 0.000 0.639
0.500 0.000 0.000
```

Output
The calculation puts the energy of formation at 2 meV/atom. The value obtained for the energy above the lowest structure with this stoichiometry is 0.0 kJ/mol of atoms. As for the final energy: -4.516 eV per atom.

---

(2)
Material: La15PmMg4
Method: DFT, PBE
State: optimized geometry

```
La15PmMg4
1.0
5.151 0.000 0.000
0.000 5.151 0.000
0.000 0.000 25.717
La Mg Pm
15 4 1
Direct
0.500 0.500 0.401
0.500 0.000 0.898
0.500 0.500 0.202
0.500 0.500 0.798
0.500 0.500 0.000
0.500 0.000 0.102
0.000 0.500 0.898
0.000 0.500 0.102
0.000 0.500 0.302
0.500 0.000 0.302
0.500 0.000 0.698
0.500 0.500 0.599
0.000 0.500 0.500
0.000 0.500 0.698
0.500 0.000 0.500
0.000 0.000 0.797
0.000 0.000 0.599
0.000 0.000 0.401
0.000 0.000 0.203
0.000 0.000 0.000
```

Output
The calculation puts the energy of formation at -14 meV/atom. As for the final energy: -4.266 eV per atom.

---

(3)
Material: La2Pm3Mg
Method: DFT, PBE
State: optimized geometry

```
La2Pm3Mg
1.0
-1.984 3.382 -4.471
1.618 -4.680 -4.258
-4.509 -1.434 4.871
La Pm Mg
2 3 1
Direct
0.339 0.839 0.678
0.661 0.161 0.322
0.659 0.659 0.318
0.000 0.000 0.000
0.341 0.341 0.682
0.000 0.500 0.000
```

Output
The calculation puts the energy of formation at 277 meV/atom. The value obtained for the energy above the lowest structure with this stoichiometry is 0.0 kJ/mol of atoms. As for the final energy: -4.006 eV per atom.

---

(4)
Material: LaPm6Mg
Method: DFT, PBE
State: optimized geometry

```
LaPm6Mg
1.0
-4.211 -0.478 4.048
1.485 -4.877 2.890
4.074 3.289 7.550
Mg Pm La
1 6 1
Direct
0.000 0.000 0.000
0.936 0.443 0.707
0.443 0.936 0.707
0.639 0.639 0.075
0.064 0.557 0.293
0.361 0.361 0.925
0.557 0.064 0.293
0.500 0.500 0.500
```

Output
The calculation puts the energy of formation at 324 meV/atom. The value obtained for the energy above the lowest structure with this stoichiometry is 29.4 kJ/mol of atoms. As for the final energy: -4.054 eV per atom.

---

(5)
Material: La2Pm2Mg15
Method: DFT, PBE
State: optimized geometry

```
La2Pm2Mg15
1.0
-1.516 -2.784 -7.347
-4.343 -6.324 2.274
-7.174 3.442 -0.842
Pm La Mg
2 2 15
Direct
0.904 0.904 0.904
0.096 0.096 0.096
0.333 0.333 0.333
0.667 0.667 0.667
0.301 0.699 0.000
0.354 0.354 0.841
0.646 0.646 0.159
0.699 0.000 0.301
0.000 0.500 0.000
0.000 0.000 0.500
0.000 0.699 0.301
0.646 0.159 0.646
0.699 0.301 0.000
0.301 0.000 0.699
0.354 0.841 0.354
0.159 0.646 0.646
0.841 0.354 0.354
0.000 0.301 0.699
0.500 0.000 0.000
```

Output
The calculation puts the energy of formation at -25 meV/atom. As for the final energy: -2.302 eV per atom.

---

(6)
Material: La12Pm7Mg
Method: DFT, PBE
State: optimized geometry

```
La12Pm7Mg
1.0
-3.217 4.876 -2.529
3.105 -5.719 -9.636
-8.304 -4.865 6.526
La Pm Mg
12 7 1
Direct
0.907 0.816 0.408
0.926 0.354 0.354
0.428 0.000 0.354
0.572 0.000 0.646
0.572 0.646 0.000
0.091 0.592 0.184
0.093 0.184 0.592
0.499 0.592 0.408
0.501 0.408 0.592
0.428 0.354 0.000
0.074 0.646 0.646
0.909 0.408 0.816
0.888 0.000 0.246
0.112 0.754 0.000
0.888 0.246 0.000
0.358 0.246 0.246
0.112 0.000 0.754
0.500 0.000 0.000
0.642 0.754 0.754
0.000 0.000 0.000
```

Output
The calculation puts the energy of formation at 142 meV/atom. As for the final energy: -4.557 eV per atom.